Record 1
The following is a DFT calculation (PBE+U) of an optimized crystal structure of VCrF4.

a = 5.3754 Å, b = 5.4292 Å, c = 5.3393 Å
α = 90.00°, β = 90.00°, γ = 90.00°
Fractional coordinates of all 12 atoms:
1 V 0.0623 0.9998 0.0000
2 V 0.5623 0.0002 0.5000
3 Cr 0.5612 0.4987 0.0000
4 Cr 0.0612 0.5013 0.5000
5 F 0.2495 0.6755 0.0000
6 F 0.8740 0.3235 0.0000
7 F 0.3124 0.1937 0.7502
8 F 0.8124 0.8063 0.7498
9 F 0.3740 0.6765 0.5000
10 F 0.7495 0.3245 0.5000
11 F 0.8124 0.8063 0.2502
12 F 0.3124 0.1937 0.2498

Calculated values
M_tot: 14.00 μB per cell
Calculated volume: 155.82 Å³/cell
Calculated total energy: -6.240 eV/atom
Relative energy among the computed polymorphs: 0.099 eV/atom
Symmetry: No. 31

---

Record 2
The following is a DFT calculation (PBE+U) of an optimized crystal structure of RbYCo2F8.

a = 5.2920 Å, b = 5.3764 Å, c = 7.7581 Å
α = 78.82°, β = 79.32°, γ = 77.10°
Fractional coordinates of all 12 atoms:
1 Rb 0.0000 0.0000 0.5000
2 Y 0.0000 0.0000 0.0000
3 Co 0.4509 0.4504 0.7159
4 Co 0.5491 0.5496 0.2841
5 F 0.2032 0.7463 0.2146
6 F 0.7218 0.7417 0.0655
7 F 0.7589 0.2184 0.2079
8 F 0.7968 0.2537 0.7854
9 F 0.2782 0.2583 0.9345
10 F 0.2411 0.7816 0.7921
11 F 0.6422 0.6626 0.4905
12 F 0.3578 0.3374 0.5095

Calculated values
M_tot: 6.00 μB per cell
Calculated volume: 208.73 Å³/cell
N(E_F): 0.00 states/eV/f.u.
Calculated total energy: -5.560 eV/atom
Symmetry: No. 2

---

- What is the formula in the second record?
  RbYCo2F8